# SmPaNO

A relaxed SmPaNO crystal (GGA-PBE, OQMD).

Unit cell a=6.978 b=8.255 c=5.076 alpha=90.00 beta=90.00 gamma=90.00
Space group Pca2_1 (No. 29)
Unique sites:
Sm1 0.077 0.120 0.000 x4
Pa1 0.083 0.628 0.000 x4
N1 0.079 0.619 0.501 x4
O1 0.088 0.129 0.500 x4

***

# SmPaNO

A relaxed SmPaNO crystal (GGA-PBE, OQMD).

Unit cell a=3.851 b=6.593 c=6.168 alpha=90.00 beta=90.00 gamma=90.00
Space group Pmc2_1 (No. 26)
Unique sites:
Sm1 0.000 0.174 0.000 x2
Pa1 0.500 0.336 0.486 x2
N1 0.000 0.174 0.405 x2
O1 0.500 0.331 0.849 x2

***

# SmPaNO

A relaxed SmPaNO crystal (GGA-PBE, OQMD).

Unit cell a=3.874 b=6.630 c=6.110 alpha=90.00 beta=90.00 gamma=90.00
Space group Pmc2_1 (No. 26)
Unique sites:
Sm1 0.000 0.170 0.000 x2
Pa1 0.500 0.333 0.502 x2
N1 0.500 0.352 0.866 x2
O1 0.000 0.177 0.392 x2

***

# SmPaNO

A relaxed SmPaNO crystal (GGA-PBE, OQMD).

Unit cell a=3.985 b=3.985 c=8.500 alpha=90.00 beta=90.00 gamma=90.00
Space group P4/nmm (No. 129, origin choice 2)
Unique sites:
Sm1 0.250 0.750 0.000 x2
Pa1 0.250 0.250 0.348 x2
N1 0.250 0.250 0.804 x2
O1 0.250 0.750 0.500 x2

***

# PaTcNO

A relaxed PaTcNO crystal (GGA-PBE, OQMD).

Unit cell a=3.327 b=6.074 c=5.349 alpha=90.00 beta=90.00 gamma=90.00
Space group Pmc2_1 (No. 26)
Unique sites:
Pa1 0.000 0.211 0.000 x2
Tc1 0.500 0.261 0.467 x2
N1 0.500 0.027 0.736 x2
O1 0.000 0.448 0.329 x2

***

# PaTcNO

A relaxed PaTcNO crystal (GGA-PBE, OQMD).

Unit cell a=4.042 b=5.229 c=4.908 alpha=90.00 beta=90.00 gamma=90.00
Space group Pmc2_1 (No. 26)
Unique sites:
Pa1 0.000 0.249 0.000 x2
Tc1 0.500 0.326 0.510 x2
N1 0.000 0.265 0.488 x2
O1 0.500 0.068 0.847 x2

***

# PaTcNO

A relaxed PaTcNO crystal (GGA-PBE, OQMD).

Unit cell a=6.482 b=6.767 c=4.971 alpha=90.00 beta=90.00 gamma=90.00
Space group Pca2_1 (No. 29)
Unique sites:
Pa1 0.067 0.186 0.000 x4
Tc1 0.167 0.676 0.016 x4
N1 0.072 0.125 0.475 x4
O1 0.133 0.465 0.713 x4

***

# PaTcNO

A relaxed PaTcNO crystal (GGA-PBE, OQMD).

Unit cell a=4.871 b=4.871 c=4.460 alpha=90.00 beta=90.00 gamma=90.00
Space group P4/nmm (No. 129, origin choice 2)
Unique sites:
Pa1 0.250 0.750 0.000 x2
Tc1 0.250 0.250 0.496 x2
N1 0.250 0.250 0.996 x2
O1 0.250 0.750 0.500 x2

***

| no. | mass density (Mg/m³) | DFT total energy (eV per cell) |
| --- | --- | --- |
| 1 | 9.3 | -134.03 |
| 2 | 8.7 | -65.76 |
| 3 | 8.7 | -65.75 |
| 4 | 10.1 | -61.81 |
| 5 | 11.0 | -71.21 |
| 6 | 11.5 | -73.03 |
| 7 | 10.9 | -143.40 |
| 8 | 11.3 | -70.68 |